# TaCdPb

TaCdPb after structural relaxation (GGA-PBEsol, the Alexandria database).

Structure (extended XYZ):
```
3
Lattice="-1.9685 3.7668 2.0680 -4.6650 0.6961 -0.3071 -2.7291 -0.5572 3.8187" Properties=species:S:1:pos:R:3 pbc="T T T"
Pb -4.6813 1.9529 2.7898
Cd 0.0000 0.0000 0.0000
Ta -7.0219 2.9293 4.1847
```

Properties
Energy of formation, eV per atom: 0.93
Spin magnetization, μB per cell: 0.82
DFT total energy, eV/atom: -4.99
SG: No. 216
Polymorph energy (0 for the lowest one), meV/atom: 366
Density of states at the Fermi level, states/eV/atom: 1.3690